[1]
A geometry-optimized DyZrNO structure, computed with GGA-PBE.

Unit cell a=4.158 b=4.158 c=8.205 alpha=90.00 beta=90.00 gamma=90.00
Space group P4/nmm (No. 129, origin choice 2)
Inequivalent atoms, fractional coordinates:
Dy: 0.250 0.250 0.114 [2 per cell]
Zr: 0.250 0.750 0.500 [2 per cell]
N: 0.250 0.250 0.575 [2 per cell]
O: 0.250 0.750 0.000 [2 per cell]

Summary:
Calculated density: 6.6 Mg/m³
Volume: 17.74 Å³ per atom
Electronic total energy: -8.54 eV per atom

=====

[2]
A geometry-optimized DyZrNO structure, computed with GGA-PBE.

Unit cell a=7.940 b=6.464 c=4.771 alpha=90.00 beta=90.00 gamma=90.00
Space group Pbcm (No. 57)
Inequivalent atoms, fractional coordinates:
Dy: 0.135 0.080 0.250 [4 per cell]
Zr: 0.390 0.560 0.250 [4 per cell]
N: 0.134 0.058 0.750 [4 per cell]
O: 0.366 0.608 0.750 [4 per cell]

Summary:
Calculated density: 7.7 Mg/m³
Volume: 15.30 Å³ per atom
Electronic total energy: -8.59 eV per atom

=====

[3]
A geometry-optimized DyZrNO structure, computed with GGA-PBE.

Unit cell a=4.664 b=4.664 c=4.772 alpha=90.00 beta=90.00 gamma=90.00
Space group P4/nmm (No. 129, origin choice 2)
Inequivalent atoms, fractional coordinates:
Dy: 0.250 0.250 0.001 [2 per cell]
Zr: 0.250 0.750 0.500 [2 per cell]
N: 0.250 0.250 0.502 [2 per cell]
O: 0.250 0.750 0.000 [2 per cell]

Summary:
Calculated density: 9.1 Mg/m³
Volume: 12.97 Å³ per atom
Electronic total energy: -8.77 eV per atom

=====

[4]
A geometry-optimized DyZrNO structure, computed with GGA-PBE.

Unit cell a=3.976 b=3.976 c=7.452 alpha=90.00 beta=90.00 gamma=90.00
Space group P4/nmm (No. 129, origin choice 2)
Inequivalent atoms, fractional coordinates:
Dy: 0.250 0.750 0.000 [2 per cell]
Zr: 0.250 0.250 0.376 [2 per cell]
N: 0.250 0.250 0.821 [2 per cell]
O: 0.250 0.750 0.500 [2 per cell]

Summary:
Calculated density: 8.0 Mg/m³
Volume: 14.73 Å³ per atom
Electronic total energy: -7.85 eV per atom

=====

[5]
A geometry-optimized DyZrNO structure, computed with GGA-PBE.

Unit cell a=4.687 b=3.860 c=6.725 alpha=90.00 beta=90.00 gamma=90.00
Space group Pmma (No. 51)
Inequivalent atoms, fractional coordinates:
Dy: 0.250 0.000 0.163 [2 per cell]
Zr: 0.250 0.500 0.663 [2 per cell]
N: 0.250 0.500 0.350 [2 per cell]
O: 0.250 0.000 0.813 [2 per cell]

Summary:
Calculated density: 7.7 Mg/m³
Volume: 15.21 Å³ per atom
Electronic total energy: -8.67 eV per atom

=====

[6]
A geometry-optimized DyZrNO structure, computed with GGA-PBE.

Unit cell a=3.365 b=3.365 c=4.646 alpha=90.00 beta=90.00 gamma=90.00
Space group P4/mmm (No. 123)
Inequivalent atoms, fractional coordinates:
Dy: 0.000 0.000 0.000 [1 per cell]
Zr: 0.500 0.500 0.500 [1 per cell]
N: 0.500 0.500 0.000 [1 per cell]
O: 0.000 0.000 0.500 [1 per cell]

Summary:
Calculated density: 9.0 Mg/m³
Volume: 13.15 Å³ per atom
Electronic total energy: -8.68 eV per atom

=====

[7]
A geometry-optimized Dy3P2N structure, computed with GGA-PBE.

Unit cell a=3.7898 b=3.7898 c=9.5147 alpha=90.00 beta=90.00 gamma=120.00
Space group P-3m1 (No. 164)
Inequivalent atoms, fractional coordinates:
Dy: 0.0000 0.0000 0.0000 [1 per cell]
Dy: 0.3333 0.6667 0.6410 [2 per cell]
P: 0.3333 0.6667 0.1784 [2 per cell]
N: 0.0000 0.0000 0.5000 [1 per cell]

Summary:
Calculated density: 7.9 Mg/m³
Volume: 19.72 Å³ per atom
Electronic total energy: -7.00 eV per atom

=====

[8]
A geometry-optimized DyPa3N structure, computed with GGA-PBE.

Unit cell a=4.826 b=4.826 c=4.826 alpha=90.00 beta=90.00 gamma=90.00
Space group Pm-3m (No. 221)
Inequivalent atoms, fractional coordinates:
Dy: 0.000 0.000 0.000 [1 per cell]
Pa: 0.000 0.500 0.500 [3 per cell]
N: 0.500 0.500 0.500 [1 per cell]

Summary:
Calculated density: 12.8 Mg/m³
Volume: 22.48 Å³ per atom
Electronic total energy: -8.77 eV per atom

=====

[9]
A geometry-optimized Dy2PaN4 structure, computed with GGA-PBE.

Unit cell a=5.857 b=9.741 c=3.561 alpha=90.00 beta=90.00 gamma=90.00
Space group Pbam (No. 55)
Inequivalent atoms, fractional coordinates:
Dy: 0.060 0.175 0.000 [4 per cell]
Pa: 0.000 0.500 0.500 [2 per cell]
N: 0.156 0.702 0.500 [4 per cell]
N: 0.239 0.460 0.000 [4 per cell]

Summary:
Calculated density: 10.0 Mg/m³
Volume: 14.51 Å³ per atom
Electronic total energy: -8.92 eV per atom

=====

[10]
A geometry-optimized DyPa2N4 structure, computed with GGA-PBE.

Unit cell a=7.367 b=7.367 c=7.022 alpha=90.00 beta=90.00 gamma=90.00
Space group I-42d (No. 122)
Inequivalent atoms, fractional coordinates:
Dy: 0.000 0.000 0.000 [4 per cell]
Pa: 0.142 0.250 0.625 [8 per cell]
N: 0.063 0.183 0.319 [16 per cell]

Summary:
Calculated density: 11.9 Mg/m³
Volume: 13.61 Å³ per atom
Electronic total energy: -9.65 eV per atom

=====

[11]
A geometry-optimized TbDyPbN structure, computed with GGA-PBE.

Unit cell a=3.5560 b=3.5560 c=15.6692 alpha=90.00 beta=90.00 gamma=120.00
Space group P-6m2 (No. 187)
Inequivalent atoms, fractional coordinates:
Tb: 0.0000 0.0000 0.1665 [2 per cell]
Dy: 0.3333 0.6667 0.3333 [2 per cell]
Pb: 0.0000 0.0000 0.5000 [1 per cell]
Pb: 0.3333 0.6667 0.0000 [1 per cell]
N: 0.6667 0.3333 0.2512 [2 per cell]

Summary:
Calculated density: 10.5 Mg/m³
Volume: 21.45 Å³ per atom
Electronic total energy: -6.41 eV per atom

=====

[12]
A geometry-optimized TbDyPbN structure, computed with GGA-PBE.

Unit cell a=3.5558 b=3.5558 c=15.6713 alpha=90.00 beta=90.00 gamma=120.00
Space group P-3m1 (No. 164)
Inequivalent atoms, fractional coordinates:
Tb: 0.3333 0.6667 0.0837 [2 per cell]
Dy: 0.3333 0.6667 0.4170 [2 per cell]
Pb: 0.3333 0.6667 0.7493 [2 per cell]
N: 0.0000 0.0000 0.0000 [1 per cell]
N: 0.0000 0.0000 0.5000 [1 per cell]

Summary:
Calculated density: 10.5 Mg/m³
Volume: 21.45 Å³ per atom
Electronic total energy: -6.41 eV per atom

=====

What is the electronic total energy in the ninth record?
-8.92 eV per atom